Here is a geometry-optimized Sm4Pu structure from Alexandria. Energies are from PBE.

```
Sm4Pu
1.0
5.656 0.000 0.000
0.000 5.656 0.000
0.000 0.000 5.656
Pu Sm
1 4
Cartesian
2.828 2.828 2.828
0.000 0.000 0.000
2.828 0.000 2.828
2.828 2.828 0.000
0.000 2.828 2.828
```

Summary:
Crystal system   cubic
Energy relative to the elements   0.4813 eV/atom